# ZrMnCo2 meta-GGA SCAN single point on PBEsol structure
data_ZrMnCo2
_chemical_formula_sum 'Zr1 Mn1 Co2'
_space_group_name_H-M_alt 'P 1'
_space_group_IT_number 1
_space_group_name_Hall 'P 1'
_cell_length_a 3.0513
_cell_length_b 3.0498
_cell_length_c 5.5966
_cell_angle_alpha 90.00
_cell_angle_beta 90.00
_cell_angle_gamma 90.00
loop_
_atom_site_label
_atom_site_type_symbol
_atom_site_fract_x
_atom_site_fract_y
_atom_site_fract_z
_atom_site_occupancy
Zr1 Zr 0.5000 0.5000 0.7617 1
Co1 Co 0.0000 0.0000 0.0268 1
Co2 Co 0.5000 0.5000 0.2646 1
Mn1 Mn 0.0000 0.0000 0.4470 1
# Symmetry   P4mm, No. 99
# Total magnetic moment   1.39 μB per atom
# DFT formation energy   19 meV/atom



# ZrMn2Co meta-GGA SCAN single point on PBEsol structure
data_ZrMn2Co
_chemical_formula_sum 'Zr1 Mn2 Co1'
_space_group_name_H-M_alt 'P 1'
_space_group_IT_number 1
_space_group_name_Hall 'P 1'
_cell_length_a 3.0613
_cell_length_b 4.1080
_cell_length_c 5.0000
_cell_angle_alpha 114.26
_cell_angle_beta 107.83
_cell_angle_gamma 90.00
loop_
_atom_site_label
_atom_site_type_symbol
_atom_site_fract_x
_atom_site_fract_y
_atom_site_fract_z
_atom_site_occupancy
Co1 Co 0.2647 0.2647 0.5294 1
Zr1 Zr 0.5072 0.0072 0.0144 1
Mn1 Mn 0.9890 0.4890 0.9781 1
Mn2 Mn 0.7391 0.7391 0.4782 1
# Symmetry   Imm2, No. 44
# Total magnetic moment   1.80 μB per atom
# DFT formation energy   -56 meV/atom



# ZrMn2Co meta-GGA SCAN single point on PBEsol structure
data_ZrMn2Co
_chemical_formula_sum 'Zr1 Mn2 Co1'
_space_group_name_H-M_alt 'P 1'
_space_group_IT_number 1
_space_group_name_Hall 'P 1'
_cell_length_a 4.2088
_cell_length_b 4.2088
_cell_length_c 4.2088
_cell_angle_alpha 60.00
_cell_angle_beta 60.00
_cell_angle_gamma 60.00
loop_
_atom_site_label
_atom_site_type_symbol
_atom_site_fract_x
_atom_site_fract_y
_atom_site_fract_z
_atom_site_occupancy
Mn1 Mn 0.2500 0.2500 0.2500 1
Zr1 Zr 0.5000 0.5000 0.5000 1
Mn2 Mn 0.7500 0.7500 0.7500 1
Co1 Co 0.0000 0.0000 0.0000 1
# Symmetry   Fm-3m, No. 225
# Total magnetic moment   1.65 μB per atom
# DFT formation energy   33 meV/atom



# ZrMn2Co meta-GGA SCAN single point on PBEsol structure
data_ZrMn2Co
_chemical_formula_sum 'Zr1 Mn2 Co1'
_space_group_name_H-M_alt 'P 1'
_space_group_IT_number 1
_space_group_name_Hall 'P 1'
_cell_length_a 4.2058
_cell_length_b 4.2058
_cell_length_c 4.2058
_cell_angle_alpha 60.00
_cell_angle_beta 60.00
_cell_angle_gamma 60.00
loop_
_atom_site_label
_atom_site_type_symbol
_atom_site_fract_x
_atom_site_fract_y
_atom_site_fract_z
_atom_site_occupancy
Co1 Co 0.2500 0.2500 0.2500 1
Mn1 Mn 0.0000 0.0000 0.0000 1
Zr1 Zr 0.5000 0.5000 0.5000 1
Mn2 Mn 0.7500 0.7500 0.7500 1
# Symmetry   F-43m, No. 216
# Total magnetic moment   0.75 μB per atom
# DFT formation energy   -114 meV/atom



# Co3Mo2 meta-GGA SCAN single point on PBEsol structure
data_Co3Mo2
_chemical_formula_sum 'Co3 Mo2'
_space_group_name_H-M_alt 'P 1'
_space_group_IT_number 1
_space_group_name_Hall 'P 1'
_cell_length_a 2.6187
_cell_length_b 2.6187
_cell_length_c 10.5527
_cell_angle_alpha 82.87
_cell_angle_beta 82.87
_cell_angle_gamma 60.00
loop_
_atom_site_label
_atom_site_type_symbol
_atom_site_fract_x
_atom_site_fract_y
_atom_site_fract_z
_atom_site_occupancy
Co1 Co 0.8030 0.8030 0.5909 1
Co2 Co 0.0000 0.0000 0.0000 1
Mo1 Mo 0.4014 0.4014 0.7957 1
Mo2 Mo 0.5986 0.5986 0.2043 1
Co3 Co 0.1970 0.1970 0.4091 1
# Symmetry   R-3m, No. 166
# Total magnetic moment   0.36 μB per atom
# DFT formation energy   324 meV/atom



# CoMo meta-GGA SCAN single point on PBEsol structure
data_CoMo
_chemical_formula_sum 'Co1 Mo1'
_space_group_name_H-M_alt 'P 1'
_space_group_IT_number 1
_space_group_name_Hall 'P 1'
_cell_length_a 3.6793
_cell_length_b 3.6793
_cell_length_c 3.6793
_cell_angle_alpha 60.00
_cell_angle_beta 60.00
_cell_angle_gamma 60.00
loop_
_atom_site_label
_atom_site_type_symbol
_atom_site_fract_x
_atom_site_fract_y
_atom_site_fract_z
_atom_site_occupancy
Co1 Co 0.0000 0.0000 0.0000 1
Mo1 Mo 0.7500 0.7500 0.7500 1
# Symmetry   F-43m, No. 216
# Total magnetic moment   0.01 μB per atom
# DFT formation energy   1537 meV/atom



# Co3Mo4 meta-GGA SCAN single point on PBEsol structure
data_Co3Mo4
_chemical_formula_sum 'Co3 Mo4'
_space_group_name_H-M_alt 'P 1'
_space_group_IT_number 1
_space_group_name_Hall 'P 1'
_cell_length_a 4.7016
_cell_length_b 4.7016
_cell_length_c 4.7206
_cell_angle_alpha 90.00
_cell_angle_beta 90.00
_cell_angle_gamma 120.00
loop_
_atom_site_label
_atom_site_type_symbol
_atom_site_fract_x
_atom_site_fract_y
_atom_site_fract_z
_atom_site_occupancy
Mo1 Mo 0.6667 0.3333 0.5000 1
Co1 Co 0.5000 0.5000 0.0000 1
Mo2 Mo 0.0000 0.0000 0.7451 1
Mo3 Mo 0.3333 0.6667 0.5000 1
Co2 Co 0.5000 0.0000 0.0000 1
Co3 Co 0.0000 0.5000 0.0000 1
Mo4 Mo 0.0000 0.0000 0.2549 1
# Symmetry   P6/mmm, No. 191
# Total magnetic moment   0.00 μB per atom
# DFT formation energy   135 meV/atom



# CoMo meta-GGA SCAN single point on PBEsol structure
data_CoMo
_chemical_formula_sum 'Co2 Mo2'
_space_group_name_H-M_alt 'P 1'
_space_group_IT_number 1
_space_group_name_Hall 'P 1'
_cell_length_a 2.6453
_cell_length_b 2.6453
_cell_length_c 8.7032
_cell_angle_alpha 81.26
_cell_angle_beta 81.26
_cell_angle_gamma 60.00
loop_
_atom_site_label
_atom_site_type_symbol
_atom_site_fract_x
_atom_site_fract_y
_atom_site_fract_z
_atom_site_occupancy
Mo1 Mo 0.8819 0.8819 0.3543 1
Mo2 Mo 0.1181 0.1181 0.6457 1
Co1 Co 0.6293 0.6293 0.1120 1
Co2 Co 0.3707 0.3707 0.8880 1
# Symmetry   R-3m, No. 166
# Total magnetic moment   0.79 μB per atom
# DFT formation energy   359 meV/atom



# CoMo meta-GGA SCAN single point on PBEsol structure
data_CoMo
_chemical_formula_sum 'Co1 Mo1'
_space_group_name_H-M_alt 'P 1'
_space_group_IT_number 1
_space_group_name_Hall 'P 1'
_cell_length_a 2.6599
_cell_length_b 2.6599
_cell_length_c 4.1495
_cell_angle_alpha 90.00
_cell_angle_beta 90.00
_cell_angle_gamma 120.00
loop_
_atom_site_label
_atom_site_type_symbol
_atom_site_fract_x
_atom_site_fract_y
_atom_site_fract_z
_atom_site_occupancy
Mo1 Mo 0.6667 0.3333 0.5000 1
Co1 Co 0.0000 0.0000 0.0000 1
# Symmetry   P-6m2, No. 187
# Total magnetic moment   0.43 μB per atom
# DFT formation energy   386 meV/atom



# CoMo meta-GGA SCAN single point on PBEsol structure
data_CoMo
_chemical_formula_sum 'Co1 Mo1'
_space_group_name_H-M_alt 'P 1'
_space_group_IT_number 1
_space_group_name_Hall 'P 1'
_cell_length_a 2.9584
_cell_length_b 2.9584
_cell_length_c 2.9584
_cell_angle_alpha 90.00
_cell_angle_beta 90.00
_cell_angle_gamma 90.00
loop_
_atom_site_label
_atom_site_type_symbol
_atom_site_fract_x
_atom_site_fract_y
_atom_site_fract_z
_atom_site_occupancy
Mo1 Mo 0.5000 0.5000 0.5000 1
Co1 Co 0.0000 0.0000 0.0000 1
# Symmetry   Pm-3m, No. 221
# Total magnetic moment   1.16 μB per atom
# DFT formation energy   192 meV/atom



# CoMo meta-GGA SCAN single point on PBEsol structure
data_CoMo
_chemical_formula_sum 'Co1 Mo1'
_space_group_name_H-M_alt 'P 1'
_space_group_IT_number 1
_space_group_name_Hall 'P 1'
_cell_length_a 2.6090
_cell_length_b 2.6090
_cell_length_c 3.6561
_cell_angle_alpha 90.00
_cell_angle_beta 90.00
_cell_angle_gamma 90.00
loop_
_atom_site_label
_atom_site_type_symbol
_atom_site_fract_x
_atom_site_fract_y
_atom_site_fract_z
_atom_site_occupancy
Co1 Co 0.0000 0.0000 0.0000 1
Mo1 Mo 0.5000 0.5000 0.5000 1
# Symmetry   P4/mmm, No. 123
# Total magnetic moment   0.00 μB per atom
# DFT formation energy   176 meV/atom



# CoMo3N meta-GGA SCAN single point on PBEsol structure
data_CoMo3N
_chemical_formula_sum 'Co1 Mo3 N1'
_space_group_name_H-M_alt 'P 1'
_space_group_IT_number 1
_space_group_name_Hall 'P 1'
_cell_length_a 4.0020
_cell_length_b 4.0020
_cell_length_c 4.0020
_cell_angle_alpha 90.00
_cell_angle_beta 90.00
_cell_angle_gamma 90.00
loop_
_atom_site_label
_atom_site_type_symbol
_atom_site_fract_x
_atom_site_fract_y
_atom_site_fract_z
_atom_site_occupancy
Mo1 Mo 0.5000 0.0000 0.0000 1
N1 N 0.0000 0.0000 0.0000 1
Mo2 Mo 0.0000 0.5000 0.0000 1
Mo3 Mo 0.0000 0.0000 0.5000 1
Co1 Co 0.5000 0.5000 0.5000 1
# Symmetry   Pm-3m, No. 221
# Total magnetic moment   0.28 μB per atom
# VASP energy   -26.158 eV per atom



# Co3Mo3N meta-GGA SCAN single point on PBEsol structure
data_Co3Mo3N
_chemical_formula_sum 'Co12 Mo12 N4'
_space_group_name_H-M_alt 'P 1'
_space_group_IT_number 1
_space_group_name_Hall 'P 1'
_cell_length_a 7.6902
_cell_length_b 7.6902
_cell_length_c 7.6902
_cell_angle_alpha 60.00
_cell_angle_beta 60.00
_cell_angle_gamma 60.00
loop_
_atom_site_label
_atom_site_type_symbol
_atom_site_fract_x
_atom_site_fract_y
_atom_site_fract_z
_atom_site_occupancy
Co1 Co 0.0080 0.3307 0.3307 1
Mo1 Mo 0.7030 0.2970 0.2970 1
Mo2 Mo 0.9530 0.5470 0.5470 1
Co2 Co 0.1250 0.1250 0.1250 1
Co3 Co 0.9193 0.9193 0.9193 1
Mo3 Mo 0.9530 0.9530 0.5470 1
N1 N 0.6250 0.1250 0.6250 1
Mo4 Mo 0.2970 0.7030 0.2970 1
Mo5 Mo 0.5470 0.9530 0.9530 1
Co4 Co 0.3307 0.3307 0.0080 1
Co5 Co 0.6250 0.1250 0.1250 1
Mo6 Mo 0.2970 0.2970 0.7030 1
Mo7 Mo 0.7030 0.7030 0.2970 1
Co6 Co 0.9193 0.2420 0.9193 1
Mo8 Mo 0.2970 0.7030 0.7030 1
Co7 Co 0.9193 0.9193 0.2420 1
Mo9 Mo 0.7030 0.2970 0.7030 1
N2 N 0.6250 0.6250 0.6250 1
Mo10 Mo 0.5470 0.5470 0.9530 1
N3 N 0.6250 0.6250 0.1250 1
Mo11 Mo 0.5470 0.9530 0.5470 1
Co8 Co 0.1250 0.6250 0.1250 1
Mo12 Mo 0.9530 0.5470 0.9530 1
Co9 Co 0.1250 0.1250 0.6250 1
Co10 Co 0.2420 0.9193 0.9193 1
Co11 Co 0.3307 0.3307 0.3307 1
Co12 Co 0.3307 0.0080 0.3307 1
N4 N 0.1250 0.6250 0.6250 1
# Symmetry   Fd-3m, No. 227
# Total magnetic moment   0.70 μB per atom
# VASP energy   -23.812 eV per atom



Across the entries above, density takes the values 8.4; 8.0; 8.2; 8.2; 9.9; 7.3; 10.3; 9.9; 10.1; 9.9; 10.3; 9.3; 9.9 g cm⁻³, respectively.